Computed, not measured: LiGeB after structural relaxation at the PBE-GGA level of DFT.

Summary:
Space-group type: No. 63
E_form, eV per atom: -0.06
DOS at the Fermi energy, states/eV/atom: 0.202
Total moment, μB per cell: 0.000

Cell: 6.4642 6.4642 3.1495 Å, 90.00 90.00 145.40°
With the nearest neighbours (Å) after each atom.
Fractional positions:
Li 0.0824 0.9176 0.7500  6 B 2.34-2.58, 2 Li 2.57
Li 0.9176 0.0824 0.2500  6 B 2.34-2.58, 2 Li 2.57
Ge 0.2969 0.7031 0.7500  1 B 2.18
Ge 0.7031 0.2969 0.2500  1 B 2.18
B 0.4738 0.5262 0.7500  2 B 1.70
B 0.5262 0.4738 0.2500  2 B 1.70